No. 1
DFT (PBE) results for a relaxed structure of Hg2SbHSe.

Unit cell a=5.625 b=5.625 c=3.745 alpha=90.00 beta=90.00 gamma=90.00
Space group P4/mmm (No. 123)
Symmetry-distinct sites (fractional):
1 Hg 0.000 0.500 0.000
2 Sb 0.000 0.000 0.000
3 H 0.000 0.000 0.500
4 Se 0.500 0.500 0.500

Computed properties:
* DFT total energy: -10.24 eV per formula unit
* V: 23.70 Å³/atom
* total magnetic moment: 0.00 μB per formula unit


No. 2
DFT (PBE) results for a relaxed structure of HRhS2.

Unit cell a=4.959 b=4.959 c=8.158 alpha=90.00 beta=90.00 gamma=90.00
Space group I4_1/amd (No. 141, origin choice 2)
Symmetry-distinct sites (fractional):
1 H 0.000 0.250 0.375
2 Rh 0.000 0.250 0.875
3 S 0.000 0.250 0.172

Computed properties:
* DFT total energy: -18.07 eV per formula unit
* V: 12.54 Å³/atom
* total magnetic moment: 0.00 μB per formula unit


No. 3
DFT (PBE) results for a relaxed structure of KGaCu2Re.

Unit cell a=4.730 b=4.730 c=4.827 alpha=90.00 beta=90.00 gamma=90.00
Space group P4/mmm (No. 123)
Symmetry-distinct sites (fractional):
1 K 0.000 0.000 0.000
2 Ga 0.500 0.500 0.500
3 Cu 0.000 0.500 0.500
4 Re 0.500 0.500 0.000

Computed properties:
* DFT total energy: -19.38 eV per formula unit
* V: 21.60 Å³/atom
* formation enthalpy at 0 K: 1.08 eV per atom
* total magnetic moment: 1.92 μB per formula unit


No. 4
DFT (PBE) results for a relaxed structure of B2AuSI.

Unit cell a=4.040 b=4.040 c=8.199 alpha=90.00 beta=90.00 gamma=90.00
Space group P4/mmm (No. 123)
Symmetry-distinct sites (fractional):
1 B 0.000 0.500 0.000
2 Au 0.000 0.000 0.000
3 S 0.500 0.500 0.500
4 I 0.000 0.000 0.500

Computed properties:
* DFT total energy: -16.37 eV per formula unit
* V: 26.77 Å³/atom
* formation energy from raw total energies: 1.19 eV/atom
* total magnetic moment: 0.00 μB per formula unit


No. 5
DFT (PBE) results for a relaxed structure of P2C.

Unit cell a=13.406 b=2.799 c=4.630 alpha=90.00 beta=93.14 gamma=90.00
Space group Cm (No. 8)
Symmetry-distinct sites (fractional):
1 P 0.000 0.000 0.000
2 P 0.047 0.000 0.502
3 P 0.215 0.000 0.476
4 P 0.308 0.500 0.950
5 C 0.245 0.500 0.271
6 C 0.408 0.000 0.971

Computed properties:
* DFT total energy: -17.76 eV per formula unit
* V: 14.45 Å³/atom
* formation enthalpy at 0 K: 0.76 eV per atom
* total magnetic moment: 0.00 μB per formula unit


No. 6
DFT (PBE) results for a relaxed structure of ZrIn2Ir.

Unit cell a=3.097 b=5.217 c=10.081 alpha=90.00 beta=90.00 gamma=90.00
Space group Immm (No. 71)
Symmetry-distinct sites (fractional):
1 Zr 0.000 0.000 0.000
2 In 0.000 0.500 0.227
3 Ir 0.000 0.000 0.500

Computed properties:
* DFT total energy: -23.52 eV per formula unit
* V: 20.36 Å³/atom
* formation enthalpy at 0 K: -0.16 eV per atom
* total magnetic moment: 0.00 μB per formula unit


No. 7
DFT (PBE) results for a relaxed structure of Tb3Pm8Sc2.

Unit cell a=7.760 b=5.691 c=10.607 alpha=90.00 beta=111.42 gamma=90.00
Space group P2/m (No. 10)
Symmetry-distinct sites (fractional):
1 Tb 0.000 0.000 0.000
2 Tb 0.288 0.500 0.000
3 Pm 0.133 0.500 0.267
4 Pm 0.183 0.000 0.778
5 Pm 0.321 0.500 0.643
6 Pm 0.405 0.000 0.222
7 Sc 0.240 0.000 0.480

Computed properties:
* DFT total energy: -61.71 eV per formula unit
* V: 33.54 Å³/atom
* formation enthalpy at 0 K: 0.22 eV per atom
* total magnetic moment: 0.00 μB per formula unit


No. 8
DFT (PBE) results for a relaxed structure of Al2Zn2Ga5.

Unit cell a=4.868 b=5.608 c=6.356 alpha=95.73 beta=95.47 gamma=106.16
Space group P-1 (No. 2)
Symmetry-distinct sites (fractional):
1 Al 0.203 0.409 0.398
2 Zn 0.170 0.902 0.373
3 Ga 0.000 0.500 0.000
4 Ga 0.386 0.262 0.815
5 Ga 0.396 0.778 0.775

Computed properties:
* DFT total energy: -24.74 eV per formula unit
* V: 18.27 Å³/atom
* formation enthalpy at 0 K: 0.05 eV per atom
* total magnetic moment: 0.00 μB per formula unit


No. 9
DFT (PBE) results for a relaxed structure of Sm5YS6.

Unit cell a=6.916 b=12.008 c=6.910 alpha=90.00 beta=109.67 gamma=90.00
Space group C2/m (No. 12)
Symmetry-distinct sites (fractional):
1 Sm 0.000 0.000 0.000
2 Sm 0.000 0.167 0.500
3 Sm 0.000 0.331 0.000
4 Y 0.000 0.500 0.500
5 S 0.246 0.336 0.746
6 S 0.246 0.500 0.252

Computed properties:
* DFT total energy: -79.09 eV per formula unit
* V: 22.52 Å³/atom
* formation energy from raw total energies: -2.02 eV/atom
* total magnetic moment: 0.00 μB per formula unit


No. 10
DFT (PBE) results for a relaxed structure of LaMnSiBi.

Unit cell a=3.312 b=3.401 c=16.376 alpha=90.00 beta=90.00 gamma=90.00
Space group Amm2 (No. 38)
Symmetry-distinct sites (fractional):
1 La 0.000 0.000 0.000
2 Mn 0.000 0.000 0.811
3 Si 0.500 0.000 0.368
4 Bi 0.500 0.000 0.661

Computed properties:
* DFT total energy: -24.02 eV per formula unit
* V: 23.06 Å³/atom
* formation energy from raw total energies: -0.15 eV/atom
* total magnetic moment: 3.03 μB per formula unit


No. 11
DFT (PBE) results for a relaxed structure of ThZn4In.

Unit cell a=7.843 b=7.843 c=7.843 alpha=90.00 beta=90.00 gamma=90.00
Space group F-43m (No. 216)
Symmetry-distinct sites (fractional):
1 Th 0.000 0.000 0.000
2 Zn 0.125 0.125 0.375
3 In 0.250 0.250 0.750

Computed properties:
* DFT total energy: -15.70 eV per formula unit
* V: 20.10 Å³/atom
* formation enthalpy at 0 K: -0.07 eV per atom
* total magnetic moment: 0.00 μB per formula unit


No. 12
DFT (PBE) results for a relaxed structure of Sm4C2F.

Unit cell a=3.6557 b=3.6557 c=37.8041 alpha=90.00 beta=90.00 gamma=120.00
Space group R-3m (No. 166, hexagonal axes)
Symmetry-distinct sites (fractional):
1 Sm 0.0000 0.0000 0.1179
2 Sm 0.0000 0.0000 0.2885
3 C 0.0000 0.0000 0.4134
4 F 0.0000 0.0000 0.0000

Computed properties:
* DFT total energy: -45.67 eV per formula unit
* V: 20.83 Å³/atom
* formation energy from raw total energies: -0.93 eV/atom
* total magnetic moment: 0.00 μB per formula unit


No. 13
DFT (PBE) results for a relaxed structure of ReAsBr.

Unit cell a=6.160 b=6.160 c=6.160 alpha=90.00 beta=90.00 gamma=90.00
Space group F-43m (No. 216)
Symmetry-distinct sites (fractional):
1 Re 0.000 0.000 0.000
2 As 0.250 0.250 0.750
3 Br 0.250 0.250 0.250

Computed properties:
* DFT total energy: -16.79 eV per formula unit
* V: 19.47 Å³/atom
* formation energy from raw total energies: 0.66 eV/atom
* total magnetic moment: 0.57 μB per formula unit


No. 14
DFT (PBE) results for a relaxed structure of Cd2HgMo.

Unit cell a=4.352 b=4.352 c=8.540 alpha=90.00 beta=90.00 gamma=90.00
Space group I-4m2 (No. 119)
Symmetry-distinct sites (fractional):
1 Cd 0.000 0.000 0.000
2 Cd 0.000 0.500 0.250
3 Hg 0.000 0.500 0.750
4 Mo 0.000 0.000 0.500

Computed properties:
* DFT total energy: -10.75 eV per formula unit
* V: 20.22 Å³/atom
* formation enthalpy at 0 K: 0.55 eV per atom
* total magnetic moment: 2.44 μB per formula unit


No. 15
DFT (PBE) results for a relaxed structure of NiSb2Au2.

Unit cell a=7.112 b=7.112 c=4.126 alpha=90.00 beta=90.00 gamma=90.00
Space group P4/mbm (No. 127)
Symmetry-distinct sites (fractional):
1 Ni 0.000 0.000 0.000
2 Sb 0.172 0.328 0.500
3 Au 0.143 0.643 0.000

Computed properties:
* DFT total energy: -19.52 eV per formula unit
* V: 20.87 Å³/atom
* formation energy from raw total energies: 0.21 eV/atom
* total magnetic moment: 0.00 μB per formula unit


No. 16
DFT (PBE) results for a relaxed structure of Dy5Cd2Hg.

Unit cell a=6.635 b=12.960 c=5.171 alpha=90.00 beta=90.00 gamma=90.00
Space group Pbam (No. 55)
Symmetry-distinct sites (fractional):
1 Dy 0.000 0.000 0.000
2 Dy 0.128 0.275 0.000
3 Dy 0.168 0.612 0.500
4 Cd 0.137 0.861 0.500
5 Hg 0.000 0.500 0.000

Computed properties:
* DFT total energy: -27.08 eV per formula unit
* V: 27.79 Å³/atom
* formation enthalpy at 0 K: -0.24 eV per atom
* total magnetic moment: 0.00 μB per formula unit


No. 17
DFT (PBE) results for a relaxed structure of Fe4BrCl.

Unit cell a=7.404 b=7.404 c=7.404 alpha=90.00 beta=90.00 gamma=90.00
Space group F-43m (No. 216)
Symmetry-distinct sites (fractional):
1 Fe 0.125 0.125 0.125
2 Br 0.250 0.250 0.750
3 Cl 0.000 0.000 0.500

Computed properties:
* DFT total energy: -33.54 eV per formula unit
* V: 16.91 Å³/atom
* formation energy from raw total energies: 0.64 eV/atom
* total magnetic moment: 13.85 μB per formula unit


No. 18
DFT (PBE) results for a relaxed structure of Sc4Co4Ge7.

Unit cell a=13.260 b=13.260 c=5.225 alpha=90.00 beta=90.00 gamma=90.00
Space group I4/mmm (No. 139)
Symmetry-distinct sites (fractional):
1 Sc 0.000 0.196 0.000
2 Sc 0.141 0.141 0.500
3 Co 0.148 0.352 0.250
4 Ge 0.000 0.000 0.249
5 Ge 0.000 0.291 0.500
6 Ge 0.000 0.406 0.000
7 Ge 0.207 0.207 0.000

Computed properties:
* DFT total energy: -95.55 eV per formula unit
* V: 15.31 Å³/atom
* formation enthalpy at 0 K: -0.63 eV per atom
* total magnetic moment: 0.00 μB per formula unit


No. 19
DFT (PBE) results for a relaxed structure of ReTc4N2.

Unit cell a=4.640 b=4.640 c=10.984 alpha=90.00 beta=90.00 gamma=90.00
Space group I4/mmm (No. 139)
Symmetry-distinct sites (fractional):
1 Re 0.000 0.000 0.000
2 Tc 0.000 0.000 0.240
3 Tc 0.000 0.500 0.000
4 N 0.000 0.000 0.400

Computed properties:
* DFT total energy: -57.65 eV per formula unit
* V: 16.89 Å³/atom
* formation energy from raw total energies: 1.84 eV/atom
* total magnetic moment: 3.59 μB per formula unit


No. 20
DFT (PBE) results for a relaxed structure of CuIr2Au.

Unit cell a=6.226 b=6.226 c=6.226 alpha=90.00 beta=90.00 gamma=90.00
Space group F-43m (No. 216)
Symmetry-distinct sites (fractional):
1 Cu 0.000 0.000 0.000
2 Ir 0.000 0.000 0.500
3 Ir 0.250 0.250 0.250
4 Au 0.250 0.250 0.750

Computed properties:
* DFT total energy: -23.36 eV per formula unit
* V: 15.08 Å³/atom
* formation enthalpy at 0 K: 0.43 eV per atom
* total magnetic moment: 0.00 μB per formula unit